1.
Compound: Ac2YSb3Rh4
Source: Alexandria
Functional: PBE
Structure: relaxed

a = 4.5526 Å, b = 4.5526 Å, c = 11.2900 Å
α = 90.00°, β = 90.00°, γ = 90.00°
With the nearest neighbours (Å) after each atom.
Fractional coordinates of all 10 atoms:
Ac  0.5000  0.0000  0.2339  6 Sb 3.45-3.77, 8 Rh 3.49-3.50, 2 Y 3.77
Ac  0.0000  0.5000  0.7661  6 Sb 3.45-3.77, 8 Rh 3.49-3.50, 2 Y 3.77
Y  0.5000  0.5000  0.5000  4 Rh 2.80
Sb  0.0000  0.0000  0.5000  4 Rh 2.80
Sb  0.5000  0.0000  0.8761  5 Rh 2.62-2.67
Sb  0.0000  0.5000  0.1239  5 Rh 2.62-2.67
Rh  0.5000  0.5000  0.0000  4 Sb 2.67
Rh  0.0000  0.0000  0.0000  4 Sb 2.67
Rh  0.5000  0.0000  0.6440  3 Sb 2.62-2.80, 2 Y 2.80
Rh  0.0000  0.5000  0.3560  3 Sb 2.62-2.80, 2 Y 2.80

Results
The value obtained for the density of states at the Fermi level is 8.53 states/eV per cell. Its formation energy without anion corrections is -881 meV per atom.


2.
Compound: Ac2YSb4Rh3
Source: Alexandria
Functional: PBE
Structure: relaxed

a = 4.6262 Å, b = 4.6262 Å, c = 11.6862 Å
α = 90.00°, β = 90.00°, γ = 90.00°
With the nearest neighbours (Å) after each atom.
Fractional coordinates of all 10 atoms:
Ac  0.5000  0.0000  0.2286  8 Sb 3.53, 6 Rh 3.54-3.93, 2 Y 3.93
Ac  0.0000  0.5000  0.7714  8 Sb 3.53, 6 Rh 3.54-3.93, 2 Y 3.93
Y  0.5000  0.5000  0.5000  4 Sb 2.95, 4 Rh 3.27
Sb  0.5000  0.5000  0.0000  4 Rh 2.66
Sb  0.0000  0.0000  0.0000  4 Rh 2.66
Sb  0.5000  0.0000  0.6573  3 Rh 2.68-2.95, 2 Y 2.95
Sb  0.0000  0.5000  0.3427  3 Rh 2.68-2.95, 2 Y 2.95
Rh  0.0000  0.0000  0.5000  4 Sb 2.95, 4 Y 3.27
Rh  0.5000  0.0000  0.8868  5 Sb 2.66-2.68
Rh  0.0000  0.5000  0.1132  5 Sb 2.66-2.68

Results
The value obtained for the density of states at the Fermi level is 4.18 states/eV per cell. Its formation energy without anion corrections is -867 meV per atom.